No. 1
Below is crystalline Eu2TmPb at its relaxed geometry, with properties calculated at the PBE-GGA level.

CIF file:
```
data_Eu2TmPb
_space_group_name_H-M_alt 'P 4/m m m'
_space_group_IT_number 123
_space_group_name_Hall '-P 4 2'
_cell_length_a 4.329
_cell_length_b 4.329
_cell_length_c 6.978
_cell_angle_alpha 90.00
_cell_angle_beta 90.00
_cell_angle_gamma 90.00
loop_
_atom_site_label
_atom_site_type_symbol
_atom_site_fract_x
_atom_site_fract_y
_atom_site_fract_z
Eu1 Eu 0.000 0.000 0.235
Tm1 Tm 0.500 0.500 0.500
Pb1 Pb 0.500 0.500 0.000
```

energy relative to the elements: -0.1650 eV per atom
excess energy over the best structure of this formula in the dataset: 106.4 meV/atom


No. 2
Below is crystalline PmDyPd3 at its relaxed geometry, with properties calculated at the PBE-GGA level.

CIF file:
```
data_PmDyPd3
_space_group_name_H-M_alt 'P 1 21/c 1'
_space_group_IT_number 14
_space_group_name_Hall '-P 2ybc'
_cell_length_a 8.044
_cell_length_b 5.644
_cell_length_c 10.523
_cell_angle_alpha 90.00
_cell_angle_beta 117.53
_cell_angle_gamma 90.00
loop_
_atom_site_label
_atom_site_type_symbol
_atom_site_fract_x
_atom_site_fract_y
_atom_site_fract_z
Pm1 Pm 0.150 0.244 0.041
Dy1 Dy 0.367 0.689 0.312
Pd1 Pd 0.004 0.030 0.751
Pd2 Pd 0.251 0.747 0.018
Pd3 Pd 0.363 0.186 0.363
```

energy relative to the elements: -0.7864 eV per atom


No. 3
Below is crystalline Cs4InSn3I12 at its relaxed geometry, with properties calculated at the PBE-GGA level.

CIF file:
```
data_Cs4InSn3I12
_space_group_name_H-M_alt 'I m -3 m'
_space_group_IT_number 229
_space_group_name_Hall '-I 4 2 3'
_cell_length_a 12.484
_cell_length_b 12.484
_cell_length_c 12.484
_cell_angle_alpha 90.00
_cell_angle_beta 90.00
_cell_angle_gamma 90.00
loop_
_atom_site_label
_atom_site_type_symbol
_atom_site_fract_x
_atom_site_fract_y
_atom_site_fract_z
Cs1 Cs 0.250 0.250 0.250
In1 In 0.000 0.000 0.000
Sn1 Sn 0.000 0.000 0.500
I1 I 0.000 0.000 0.250
I2 I 0.000 0.250 0.500
```

formation energy from raw total energies: -0.93 eV per atom


No. 4
Below is crystalline LiURu2 at its relaxed geometry, with properties calculated at the PBE-GGA level.

CIF file:
```
data_LiURu2
_space_group_name_H-M_alt 'R -3 m'
_space_group_IT_number 166
_space_group_name_Hall '-R 3 2"'
_cell_length_a 2.8740
_cell_length_b 2.8740
_cell_length_c 26.6812
_cell_angle_alpha 90.00
_cell_angle_beta 90.00
_cell_angle_gamma 120.00
loop_
_atom_site_label
_atom_site_type_symbol
_atom_site_fract_x
_atom_site_fract_y
_atom_site_fract_z
Li1 Li 0.0000 0.0000 0.0000
U1 U 0.0000 0.0000 0.5000
Ru1 Ru 0.0000 0.0000 0.2531
```

energy relative to the elements: 0.2235 eV per atom


No. 5
Below is crystalline TbPr3As4 at its relaxed geometry, with properties calculated at the PBE-GGA level.

CIF file:
```
data_TbPr3As4
_space_group_name_H-M_alt 'C m m m'
_space_group_IT_number 65
_space_group_name_Hall '-C 2 2'
_cell_length_a 8.533
_cell_length_b 12.064
_cell_length_c 4.270
_cell_angle_alpha 90.00
_cell_angle_beta 90.00
_cell_angle_gamma 90.00
loop_
_atom_site_label
_atom_site_type_symbol
_atom_site_fract_x
_atom_site_fract_y
_atom_site_fract_z
Tb1 Tb 0.000 0.000 0.000
Pr1 Pr 0.000 0.500 0.000
Pr2 Pr 0.250 0.250 0.500
As1 As 0.000 0.247 0.000
As2 As 0.243 0.000 0.500
```

energy relative to the elements: -1.5030 eV per atom
excess energy over the best structure of this formula in the dataset: 0.0 meV/atom


In the order shown, the computed Fermi-level density of states values come out to 6.38, 2.51, 0.70, 4.50, 0.65 states/eV/f.u..
In the order shown, the computed electronic total energy values come out to -29.39, -115.45, -110.75, -92.58, -99.18 eV per cell.
In the order shown, the computed total moment values come out to 14.78, 0.00, 0.00, 0.00, 0.00 Bohr magnetons per cell.